Entry 1:
Al2RhW: optimized geometry, PBE.

Calculated values
For the energy above the most stable polymorph in this dataset, the calculation gives 0.148 eV per atom. As for the space group: Imm2, No. 44. The total magnetization is 0.00 μB per formula unit.

Cell: 5.376 5.376 5.376 Å, 148.60 132.12 58.39°
Positions (direct):
Rh: 0.505 0.505 0.000
W: 0.260 0.760 0.500
Al: 0.004 0.004 0.000
Al: 0.730 0.230 0.500



Entry 2:
BeRePbC2: optimized geometry, PBE.

Calculated values
As for the space group: P4/mmm, No. 123. For the raw total energy, the calculation gives -27.3 eV/cell. The total magnetization is 0.00 μB per formula unit.

Cell: 3.841 3.841 4.583 Å, 90.00 90.00 90.00°
Positions (direct):
C: 0.500 0.000 0.000
C: 0.000 0.500 0.000
Re: 0.000 0.000 0.500
Pb: 0.500 0.500 0.500
Be: 0.000 0.000 0.000



Entry 3:
Na3Er2AlS6: optimized geometry, PBE.

Calculated values
As for the space group: C2/m, No. 12. As for the formation energy from raw total energies: -19.1 eV/f.u. The total magnetization is 0.00 μB per formula unit.

Cell: 6.649 6.649 7.028 Å, 99.11 99.11 120.05°
Positions (direct):
Na: 0.168 0.832 0.500
Na: 0.832 0.168 0.500
Na: 0.500 0.500 0.500
S: 0.236 0.236 0.786
S: 0.072 0.382 0.217
S: 0.618 0.928 0.783
S: 0.382 0.072 0.217
S: 0.928 0.618 0.783
S: 0.764 0.764 0.214
Er: 0.333 0.667 0.000
Er: 0.667 0.333 0.000
Al: 0.000 0.000 0.000



Entry 4:
Pm3YH: optimized geometry, PBE.

Calculated values
As for the space group: Pm-3m, No. 221. For the raw total energy, the calculation gives -24.9 eV/cell. The total magnetization is 0.00 μB per formula unit.

Cell: 5.117 5.117 5.117 Å, 90.00 90.00 90.00°
Positions (direct):
H: 0.000 0.000 0.000
Y: 0.500 0.500 0.500
Pm: 0.500 0.000 0.000
Pm: 0.000 0.500 0.000
Pm: 0.000 0.000 0.500



Entry 5:
TaBe2Tl: optimized geometry, PBE.

Calculated values
For the energy above the most stable polymorph in this dataset, the calculation gives 0.118 eV per atom. As for the space group: P4/mmm, No. 123. The total magnetization is 0.00 μB per formula unit.

Cell: 2.969 2.969 7.342 Å, 90.00 90.00 90.03°
Positions (direct):
Tl: 0.500 0.500 0.750
Ta: 0.500 0.500 0.250
Be: 0.000 0.000 0.459
Be: 0.000 0.000 0.041



Entry 6:
ZnCl3: optimized geometry, PBE.

Calculated values
As for the space group: Im-3m, No. 229. As for the formation energy from raw total energies: 0.2 eV/f.u. The total magnetization is 0.15 μB per formula unit.

Cell: 4.871 4.871 4.871 Å, 109.47 109.47 109.47°
Positions (direct):
Cl: 0.000 0.000 0.000
Cl: 0.000 0.500 0.500
Cl: 0.500 0.000 0.500
Zn: 0.500 0.500 0.000



Entry 7:
Ho5Hg2Os2: optimized geometry, PBE.

Calculated values
As for the space group: Cmce, No. 64. For the raw total energy, the calculation gives -98.7 eV/cell. The total magnetization is 0.00 μB per formula unit.

Cell: 7.419 7.538 8.842 Å, 90.00 65.19 90.00°
Positions (direct):
Os: 0.384 0.880 0.000
Os: 0.884 0.620 0.000
Os: 0.116 0.380 0.000
Os: 0.616 0.120 0.000
Ho: 0.057 0.680 0.245
Ho: 0.698 0.320 0.245
Ho: 0.943 0.320 0.755
Ho: 0.000 0.000 0.000
Ho: 0.198 0.180 0.245
Ho: 0.302 0.680 0.755
Ho: 0.443 0.180 0.755
Ho: 0.500 0.500 0.000
Ho: 0.557 0.820 0.245
Ho: 0.802 0.820 0.755
Hg: 0.281 0.500 0.438
Hg: 0.219 0.000 0.562
Hg: 0.719 0.500 0.562
Hg: 0.781 0.000 0.438



Entry 8:
BeHgW4: optimized geometry, PBE.

Calculated values
As for the space group: F-43m, No. 216. For the raw total energy, the calculation gives -50.0 eV/cell. The total magnetization is 0.00 μB per formula unit.

Cell: 5.312 5.312 5.312 Å, 60.00 60.00 60.00°
Positions (direct):
W: 0.376 0.376 0.873
W: 0.376 0.873 0.376
W: 0.873 0.376 0.376
W: 0.376 0.376 0.376
Hg: 0.000 0.000 0.000
Be: 0.750 0.750 0.750



Entry 9:
RbZrTc: optimized geometry, PBE.

Calculated values
For the energy above the most stable polymorph in this dataset, the calculation gives 0.410 eV per atom. As for the space group: I4mm, No. 107. The total magnetization is 0.00 μB per formula unit.

Cell: 3.457 3.457 14.714 Å, 90.00 90.00 90.00°
Positions (direct):
Rb: 0.000 0.000 0.809
Rb: 0.500 0.500 0.309
Zr: 0.500 0.500 0.050
Zr: 0.000 0.000 0.550
Tc: 0.000 0.000 0.123
Tc: 0.500 0.500 0.623



Entry 10:
Tl2HF2: optimized geometry, PBE.

Calculated values
As for the space group: C2/m, No. 12. For the raw total energy, the calculation gives -35.0 eV/cell. The total magnetization is 0.00 μB per formula unit.

Cell: 4.279 7.078 7.594 Å, 89.01 106.36 90.00°
Positions (direct):
F: 0.025 0.239 0.049
F: 0.346 0.312 0.691
F: 0.975 0.761 0.951
F: 0.654 0.688 0.309
Tl: 0.858 0.111 0.717
Tl: 0.142 0.889 0.283
Tl: 0.577 0.388 0.155
Tl: 0.423 0.612 0.845
H: 0.326 0.759 0.652
H: 0.674 0.241 0.348



Entry 11:
Tb4DySi4: optimized geometry, PBE.

Calculated values
As for the space group: P4_2/n, No. 86. As for the formation energy from raw total energies: -4.3 eV/f.u. The total magnetization is 0.00 μB per formula unit.

Cell: 5.813 8.953 8.953 Å, 90.00 90.00 90.00°
Positions (direct):
Si: 0.133 0.136 0.269
Si: 0.633 0.769 0.364
Si: 0.867 0.731 0.136
Si: 0.367 0.364 0.231
Si: 0.133 0.864 0.731
Si: 0.867 0.269 0.864
Si: 0.367 0.636 0.769
Si: 0.633 0.231 0.636
Tb: 0.127 0.177 0.590
Tb: 0.373 0.677 0.090
Tb: 0.873 0.590 0.823
Tb: 0.373 0.323 0.910
Tb: 0.627 0.910 0.677
Tb: 0.873 0.410 0.177
Tb: 0.627 0.090 0.323
Tb: 0.127 0.823 0.410
Dy: 0.500 0.500 0.500
Dy: 0.000 0.000 0.000



Entry 12:
Ac3Nd2N4: optimized geometry, PBE.

Calculated values
As for the space group: C2/m, No. 12. As for the formation energy from raw total energies: -9.5 eV/f.u. The total magnetization is 0.00 μB per formula unit.

Cell: 3.776 3.776 16.059 Å, 90.04 89.96 120.00°
Positions (direct):
N: 0.334 0.666 0.893
N: 0.001 0.999 0.705
N: 0.999 0.001 0.295
N: 0.666 0.334 0.107
Nd: 0.667 0.333 0.812
Nd: 0.333 0.667 0.188
Ac: 0.666 0.334 0.376
Ac: 0.334 0.666 0.624
Ac: 0.000 0.000 0.000



Entry 13:
CrTc2Ru: optimized geometry, PBE.

Calculated values
For the energy above the most stable polymorph in this dataset, the calculation gives 0.001 eV per atom. As for the space group: P4mm, No. 99. The total magnetization is 0.00 μB per formula unit.

Cell: 2.706 2.706 7.525 Å, 90.00 90.00 90.00°
Positions (direct):
Ru: 0.500 0.500 0.734
Tc: 0.500 0.500 0.263
Tc: 0.000 0.000 0.998
Cr: 0.000 0.000 0.505



Entry 14:
Tm5CoAg: optimized geometry, PBE.

Calculated values
As for the space group: C2/c, No. 15. For the raw total energy, the calculation gives -65.3 eV/cell. The total magnetization is 0.00 μB per formula unit.

Cell: 6.572 6.572 10.689 Å, 69.77 69.77 61.42°
Positions (direct):
Tm: 0.214 0.554 0.523
Tm: 0.955 0.613 0.135
Tm: 0.786 0.446 0.477
Tm: 0.966 0.034 0.250
Tm: 0.613 0.955 0.635
Tm: 0.387 0.045 0.365
Tm: 0.554 0.214 0.023
Tm: 0.446 0.786 0.977
Tm: 0.045 0.387 0.865
Tm: 0.034 0.966 0.750
Ag: 0.507 0.493 0.250
Ag: 0.493 0.507 0.750
Co: 0.000 0.000 0.000
Co: 0.000 0.000 0.500



Entry 15:
Dy3ThMg4: optimized geometry, PBE.

Calculated values
As for the space group: Pmmm, No. 47. For the raw total energy, the calculation gives -27.9 eV/cell. The total magnetization is 0.00 μB per formula unit.

Cell: 3.806 5.373 10.731 Å, 90.00 90.00 90.00°
Positions (direct):
Dy: 0.500 0.500 0.500
Dy: 0.500 0.000 0.248
Dy: 0.500 0.000 0.752
Th: 0.500 0.500 0.000
Mg: 0.000 0.000 0.500
Mg: 0.000 0.000 0.000
Mg: 0.000 0.500 0.255
Mg: 0.000 0.500 0.745



Entry 16:
Cs2NdMn2Se4: optimized geometry, PBE.

Calculated values
As for the space group: C2/m, No. 12. As for the formation energy from raw total energies: -9.9 eV/f.u. The total magnetization is 9.00 μB per formula unit.

Cell: 4.324 8.537 8.252 Å, 107.90 105.19 90.00°
Positions (direct):
Se: 0.801 0.843 0.602
Se: 0.524 0.775 0.048
Se: 0.199 0.157 0.398
Se: 0.476 0.225 0.952
Cs: 0.866 0.448 0.733
Cs: 0.134 0.552 0.267
Nd: 0.000 0.000 0.000
Mn: 0.678 0.982 0.355
Mn: 0.322 0.018 0.645



Entry 17:
BaSi2Te4: optimized geometry, PBE.

Calculated values
As for the space group: I4/m, No. 87. As for the formation energy from raw total energies: -2.8 eV/f.u. The total magnetization is 0.00 μB per formula unit.

Cell: 6.955 6.955 6.955 Å, 102.61 102.61 124.28°
Positions (direct):
Te: 0.139 0.698 0.837
Te: 0.698 0.861 0.559
Te: 0.861 0.302 0.163
Te: 0.302 0.139 0.441
Ba: 0.500 0.500 0.000
Si: 0.750 0.250 0.500
Si: 0.250 0.750 0.500



Entry 18:
MgMo2Br2: optimized geometry, PBE.

Calculated values
For the energy above the most stable polymorph in this dataset, the calculation gives 0.000 eV per atom. As for the space group: I4/mmm, No. 139. As for the formation energy from raw total energies: 2.8 eV/f.u. The total magnetization is 0.00 μB per formula unit.

Cell: 4.638 4.638 6.446 Å, 68.92 68.92 90.00°
Positions (direct):
Mo: 0.406 0.406 0.188
Mo: 0.594 0.594 0.812
Mg: 0.000 0.000 0.000
Br: 0.250 0.750 0.500
Br: 0.750 0.250 0.500



Entry 19:
TbNdY3Sc: optimized geometry, PBE.

Calculated values
As for the space group: Cmcm, No. 63. For the raw total energy, the calculation gives -69.7 eV/cell. The total magnetization is 0.00 μB per formula unit.

Cell: 4.990 7.916 10.028 Å, 90.00 90.00 108.37°
Positions (direct):
Tb: 0.000 0.000 0.000
Tb: 0.000 0.000 0.500
Nd: 0.503 0.006 0.250
Nd: 0.497 0.994 0.750
Y: 0.169 0.339 0.750
Y: 0.667 0.335 0.499
Y: 0.333 0.665 0.501
Y: 0.333 0.665 0.999
Y: 0.831 0.661 0.250
Y: 0.667 0.335 0.001
Sc: 0.832 0.665 0.750
Sc: 0.168 0.335 0.250



Entry 20:
CaPtCl3: optimized geometry, PBE.

Calculated values
For the energy above the most stable polymorph in this dataset, the calculation gives 0.000 eV per atom. As for the space group: Pm-3m, No. 221. As for the formation energy from raw total energies: -4.1 eV/f.u. The total magnetization is 0.00 μB per formula unit.

Cell: 4.978 4.978 4.978 Å, 90.00 90.00 90.00°
Positions (direct):
Pt: 0.000 0.000 0.000
Cl: 0.500 0.000 0.000
Cl: 0.000 0.000 0.500
Cl: 0.000 0.500 0.000
Ca: 0.500 0.500 0.500



Entry 21:
Sc2Se: optimized geometry, PBE.

Calculated values
As for the space group: Cmcm, No. 63. As for the formation energy from raw total energies: -3.1 eV/f.u. The total magnetization is 0.00 μB per formula unit.

Cell: 7.103 7.103 5.442 Å, 90.00 90.00 150.44°
Positions (direct):
Sc: 0.737 0.263 0.500
Sc: 0.041 0.959 0.000
Sc: 0.335 0.665 0.000
Sc: 0.443 0.557 0.500
Se: 0.692 0.308 0.000
Se: 0.086 0.914 0.500



Entry 22:
CaScTa2: optimized geometry, PBE.

Calculated values
For the energy above the most stable polymorph in this dataset, the calculation gives 0.414 eV per atom. As for the space group: P4/mmm, No. 123. The total magnetization is 0.00 μB per formula unit.

Cell: 3.602 3.602 7.177 Å, 90.00 90.00 90.00°
Positions (direct):
Sc: 0.500 0.500 0.750
Ta: 0.000 0.000 0.937
Ta: 0.000 0.000 0.563
Ca: 0.500 0.500 0.250



Entry 23:
AlSiSe4: optimized geometry, PBE.

Calculated values
For the energy above the most stable polymorph in this dataset, the calculation gives 1.173 eV per atom. As for the space group: F-43m, No. 216. As for the formation energy from raw total energies: 4.3 eV/f.u. The total magnetization is 0.00 μB per formula unit.

Cell: 5.695 5.695 5.695 Å, 60.00 60.00 60.00°
Positions (direct):
Se: 0.875 0.375 0.375
Se: 0.375 0.375 0.875
Se: 0.375 0.875 0.375
Se: 0.375 0.375 0.375
Al: 0.000 0.000 0.000
Si: 0.750 0.750 0.750



Entry 24:
ThPO6: optimized geometry, PBE.

Calculated values
As for the space group: P-1, No. 2. As for the formation energy from raw total energies: -15.3 eV/f.u. The total magnetization is 2.69 μB per formula unit.

Cell: 5.615 5.617 5.621 Å, 60.01 60.00 59.97°
Positions (direct):
P: 0.000 0.000 0.000
Th: 0.500 0.500 0.500
O: 0.793 0.787 0.211
O: 0.788 0.207 0.792
O: 0.212 0.793 0.208
O: 0.207 0.213 0.789
O: 0.789 0.210 0.210
O: 0.211 0.790 0.790